Here is a relaxed LiEuInSn crystal from Alexandria via LeMat-Bulk. Energies are from PBE. Values from VASP.

Properties
M_tot	7.0	μB per cell
crystal system	cubic
energy relative to the elements	-434	meV per atom

Cell and atoms, written as Quantum ESPRESSO input:
```
&SYSTEM
  ibrav = 0, nat = 4, ntyp = 4
/
ATOMIC_SPECIES
Eu 151.96 Eu.upf
Li 6.94 Li.upf
Sn 118.71 Sn.upf
In 114.82 In.upf
ATOMIC_POSITIONS angstrom
Eu 0.0000 0.0000 0.0000
Li 5.2690 3.0421 2.1511
Sn 2.6345 1.5210 1.0755
In 7.9035 4.5631 3.2266
CELL_PARAMETERS angstrom
5.2690 0.0000 0.0000
2.6345 4.5631 0.0000
2.6345 1.5210 4.3021
```